The following is a DFT calculation (PBE-GGA) of a relaxed structure of ReMo.

Output
The calculation puts the calculated density at 14.25 g/cm³. As for the volume: 16.44 Å³ per atom. As for the energy relative to the lowest polymorph listed for this composition: 0.501 eV per atom. As for the total magnetization: 0.00 μB/f.u. The calculation puts the energy of formation at 0.594 eV per atom.

The structure in CIF format:
```
data_ReMo
_cell_length_a 4.4433
_cell_length_b 4.4433
_cell_length_c 7.6915
_cell_angle_alpha 90.00
_cell_angle_beta 90.00
_cell_angle_gamma 120.00
_space_group_name_H-M_alt 'P 63/m m c'
_space_group_IT_number 194
_space_group_name_Hall '-P 6c 2c'
loop_
_atom_site_label
_atom_site_type_symbol
_atom_site_fract_x
_atom_site_fract_y
_atom_site_fract_z
Re1 Re 0.3333 0.6667 0.0753
Mo1 Mo 0.0000 0.0000 0.2500
Mo2 Mo 0.3333 0.6667 0.7500
```